# PBE Nb2MoH, optimized geometry
# Relative energy among the computed polymorphs (meV/atom): 0.0
# V (Å³ per atom): 13.89
data_Nb2MoH
_cell_length_a 3.1034
_cell_length_b 3.1034
_cell_length_c 19.9837
_cell_angle_alpha 90.00
_cell_angle_beta 90.00
_cell_angle_gamma 120.00
_space_group_name_H-M_alt 'R -3 m'
_space_group_IT_number 166
_space_group_name_Hall '-R 3 2"'
loop_
_atom_site_label
_atom_site_fract_x
_atom_site_fract_y
_atom_site_fract_z
Nb1 0.0000 0.0000 0.2318
Mo1 0.0000 0.0000 0.0000
H1 0.0000 0.0000 0.5000